Entry w
CsTiAu3 | GGA-PBE | optimized geometry

Results
Crystal system = cubic

extended XYZ file:
```
5
Lattice="5.288 0.000 0.000 0.000 5.288 0.000 0.000 0.000 5.288" Properties=species:S:1:pos:R:3 pbc="T T T"
Cs 2.644 2.644 2.644
Au 0.000 2.644 0.000
Au 0.000 0.000 2.644
Au 2.644 0.000 0.000
Ti 0.000 0.000 0.000
```


Entry x
CsTiAu3 | GGA-PBE | optimized geometry

Results
Crystal system = cubic

extended XYZ file:
```
5
Lattice="-1.281 -0.189 -5.819 -5.070 -2.892 1.210 -2.861 5.209 0.461" Properties=species:S:1:pos:R:3 pbc="T T T"
Cs 0.000 0.000 0.000
Au -2.535 -1.446 0.605
Au -1.430 2.605 0.231
Au -0.641 -0.094 -2.909
Ti -4.606 1.064 -2.074
```


entry w wins, 143.4 kJ/mol of atoms ahead of the next structure.